Entry 1:
# CaCu2Br6 | the Alexandria database | PBE-GGA | relaxed
# * crystal system: monoclinic
# * magnetization: 1.98 μB per formula unit
data_CaCu2Br6
_symmetry_space_group_name_H-M 'C 1 2/c 1'
_symmetry_Int_Tables_number 15
_cell_length_a 13.851
_cell_length_b 12.010
_cell_length_c 7.182
_cell_angle_alpha 90.00
_cell_angle_beta 104.15
_cell_angle_gamma 90.00
loop_
_symmetry_equiv_pos_as_xyz
'x,y,z'
'-x,-y,-z'
'-x,y,-z+1/2'
'x,-y,z+1/2'
'x+1/2,y+1/2,z'
'-x+1/2,-y+1/2,-z'
'-x+1/2,y+1/2,-z+1/2'
'x+1/2,-y+1/2,z+1/2'
loop_
_atom_site_label
_atom_site_fract_x
_atom_site_fract_y
_atom_site_fract_z
Ca1 0.000 0.116 0.250
Cu1 0.200 0.424 0.274
Br1 0.116 0.075 0.646
Br2 0.118 0.270 0.095
Br3 0.152 0.418 0.569

---

Entry 2:
# CaCuBr2 | the Alexandria database | PBE-GGA | relaxed
# * crystal system: trigonal
# * magnetization: 0.10 μB per formula unit
data_CaCuBr2
_symmetry_space_group_name_H-M 'R -3 m'
_symmetry_Int_Tables_number 166
_symmetry_space_group_name_Hall '-R 3 2"'
_cell_length_a 4.0234
_cell_length_b 4.0234
_cell_length_c 32.8025
_cell_angle_alpha 90.00
_cell_angle_beta 90.00
_cell_angle_gamma 120.00
loop_
_atom_site_label
_atom_site_fract_x
_atom_site_fract_y
_atom_site_fract_z
Ca1 0.0000 0.0000 0.0000
Cu1 0.0000 0.0000 0.5000
Br1 0.0000 0.0000 0.2818

---

Entry 3:
# CaCuBr2 | the Alexandria database | PBE-GGA | relaxed
# * crystal system: tetragonal
# * magnetization: 0.00 μB per formula unit
data_CaCuBr2
_symmetry_space_group_name_H-M 'I -4 m 2'
_symmetry_Int_Tables_number 119
_symmetry_space_group_name_Hall 'I -4 -2'
_cell_length_a 4.139
_cell_length_b 4.139
_cell_length_c 11.262
_cell_angle_alpha 90.00
_cell_angle_beta 90.00
_cell_angle_gamma 90.00
loop_
_atom_site_label
_atom_site_fract_x
_atom_site_fract_y
_atom_site_fract_z
Ca1 0.000 0.000 0.000
Cu1 0.000 0.500 0.750
Br1 0.000 0.000 0.500
Br2 0.000 0.500 0.250

---

Entry 4:
# CaCuBr2 | the Alexandria database | PBE-GGA | relaxed
# * crystal system: tetragonal
# * magnetization: 0.00 μB per formula unit
data_CaCuBr2
_symmetry_space_group_name_H-M 'I -4 2 d'
_symmetry_Int_Tables_number 122
_symmetry_space_group_name_Hall 'I -4 2bw'
_cell_length_a 5.299
_cell_length_b 5.299
_cell_length_c 16.853
_cell_angle_alpha 90.00
_cell_angle_beta 90.00
_cell_angle_gamma 90.00
loop_
_atom_site_label
_atom_site_fract_x
_atom_site_fract_y
_atom_site_fract_z
Ca1 0.000 0.000 0.000
Cu1 0.000 0.000 0.500
Br1 0.226 0.250 0.625

---

Entry 5:
# Ca2CuBr6 | the Alexandria database | PBE-GGA | relaxed
# * crystal system: tetragonal
# * magnetization: 1.05 μB per formula unit
data_Ca2CuBr6
_symmetry_space_group_name_H-M 'P 42/m n m'
_symmetry_Int_Tables_number 136
_symmetry_space_group_name_Hall '-P 4n 2n'
_cell_length_a 6.862
_cell_length_b 6.862
_cell_length_c 12.257
_cell_angle_alpha 90.00
_cell_angle_beta 90.00
_cell_angle_gamma 90.00
loop_
_atom_site_label
_atom_site_fract_x
_atom_site_fract_y
_atom_site_fract_z
Ca1 0.000 0.000 0.164
Cu1 0.000 0.000 0.500
Br1 0.182 0.182 0.352
Br2 0.203 0.203 0.000

---

Entry 6:
# CaCuBr2 | the Alexandria database | PBE-GGA | relaxed
# * crystal system: monoclinic
# * magnetization: 0.00 μB per formula unit
data_CaCuBr2
_symmetry_space_group_name_H-M 'P 1 2/m 1'
_symmetry_Int_Tables_number 10
_cell_length_a 3.859
_cell_length_b 3.942
_cell_length_c 6.683
_cell_angle_alpha 90.00
_cell_angle_beta 97.36
_cell_angle_gamma 90.00
loop_
_symmetry_equiv_pos_as_xyz
'x,y,z'
'-x,-y,-z'
'-x,y,-z'
'x,-y,z'
loop_
_atom_site_label
_atom_site_fract_x
_atom_site_fract_y
_atom_site_fract_z
Ca1 0.000 0.000 0.000
Cu1 0.000 0.000 0.500
Br1 0.329 0.500 0.752

---

Listing energy relative to the elements, uncorrected for the structures above in their given order: -77.08, -76.45, -67.83, -68.53, -131.30, -65.29 kJ/mol of atoms.